VASP calculation (PBE) on an optimized crystal structure of Tm2MnGa3Pt4.

```
10
Lattice="4.013 0.000 0.000 0.000 4.013 0.000 0.000 0.000 11.383" Properties=species:S:1:pos:R:3 pbc="T T T"
Ga 0.000 2.006 1.533
Ga 2.006 0.000 9.851
Ga 0.000 0.000 5.692
Tm 2.006 0.000 2.870
Tm 0.000 2.006 8.514
Pt 0.000 0.000 0.000
Pt 2.006 0.000 7.389
Pt 0.000 2.006 3.994
Pt 2.006 2.006 0.000
Mn 2.006 2.006 5.692
```

Properties
Energy relative to the elements (eV per atom): -0.855

VASP calculation (PBE) on an optimized crystal structure of Pu2Mn3Ga.

```
12
Lattice="-3.477 0.837 2.413 1.161 -4.068 3.084 5.049 5.508 5.367" Properties=species:S:1:pos:R:3 pbc="T T T"
Pu 0.945 2.189 2.532
Pu 0.350 -1.128 2.824
Pu 0.626 4.156 5.247
Pu 2.383 3.404 8.039
Mn 4.063 1.581 7.236
Mn -0.578 -3.650 4.290
Mn 0.000 0.000 0.000
Mn -1.331 0.695 3.626
Mn 3.479 3.628 5.685
Mn -0.747 -1.352 5.178
Ga 2.613 1.341 5.229
Ga 0.120 0.936 5.634
```

Properties
Energy relative to the elements (eV per atom): 0.022

VASP calculation (PBE) on an optimized crystal structure of Pu2MnGa6.

```
9
Lattice="5.490 -0.028 -0.016 0.029 5.958 0.006 0.029 2.974 5.162" Properties=species:S:1:pos:R:3 pbc="T T T"
Ga 3.796 2.957 3.339
Ga 1.768 7.355 4.257
Ga 1.753 5.947 1.814
Ga 3.796 4.368 0.900
Ga 3.781 1.548 0.896
Ga 1.753 4.535 4.253
Mn 0.000 0.000 0.000
Pu 0.999 2.972 1.720
Pu 4.550 5.932 3.433
```

Properties
Energy relative to the elements (eV per atom): -0.306

VASP calculation (PBE) on an optimized crystal structure of Pu4MnGa12.

```
17
Lattice="7.041 0.000 -2.489 -3.520 6.097 -2.489 0.000 0.000 7.468" Properties=species:S:1:pos:R:3 pbc="T T T"
Ga 2.525 4.373 -3.571
Ga 0.880 4.573 -1.245
Ga 4.400 1.524 1.245
Ga 0.000 3.049 3.734
Ga 5.050 0.000 3.571
Ga 0.995 1.724 -1.408
Ga -0.880 4.573 1.245
Ga 1.991 0.000 1.408
Ga -2.525 4.373 3.571
Ga 3.520 3.049 -1.245
Ga 2.640 1.524 3.734
Ga -0.995 1.724 1.408
Pu 0.000 0.000 3.734
Pu 1.760 3.049 1.245
Pu -1.760 3.049 -1.245
Pu 3.520 0.000 -1.245
Mn 0.000 0.000 0.000
```

Properties
Energy relative to the elements (eV per atom): -0.367

VASP calculation (PBE) on an optimized crystal structure of PuMnGa2.

```
4
Lattice="-2.598 1.520 0.244 -0.635 -1.494 2.546 3.572 5.448 4.088" Properties=species:S:1:pos:R:3 pbc="T T T"
Pu 0.170 2.737 3.439
Mn -1.616 0.013 1.395
Ga 2.837 4.327 3.246
Ga 0.735 1.121 0.841
```

Properties
Energy relative to the elements (eV per atom): -0.177

VASP calculation (PBE) on an optimized crystal structure of PuMn4Ga8.

```
13
Lattice="1.047 -2.893 4.153 0.481 -6.588 -1.495 6.654 -0.757 1.011" Properties=species:S:1:pos:R:3 pbc="T T T"
Pu 0.000 0.000 0.000
Ga 6.282 -7.786 2.640
Ga 1.900 -2.453 1.028
Ga 2.400 -6.717 1.148
Ga 2.534 -4.649 -0.662
Ga 5.782 -3.522 2.521
Ga 4.600 -2.697 0.177
Ga 5.110 -5.865 1.058
Ga 3.072 -4.374 2.610
Mn 0.240 -3.294 -0.747
Mn 0.764 -4.741 1.329
Mn 3.327 -0.379 0.505
Mn 3.850 -1.825 2.582
```

Properties
Energy relative to the elements (eV per atom): -0.180

VASP calculation (PBE) on an optimized crystal structure of Pu3Mn2Ga.

```
6
Lattice="3.116 0.000 0.000 0.000 3.116 0.000 0.000 0.000 12.139" Properties=species:S:1:pos:R:3 pbc="T T T"
Pu 0.000 0.000 8.315
Pu 0.000 0.000 3.824
Pu 0.000 0.000 0.000
Mn 1.558 1.558 1.917
Mn 1.558 1.558 10.223
Ga 1.558 1.558 6.070
```

Properties
Energy relative to the elements (eV per atom): -0.063

VASP calculation (PBE) on an optimized crystal structure of Pu2MnGa6.

```
9
Lattice="-0.564 -5.545 2.705 4.892 -3.785 0.358 2.699 -1.066 5.473" Properties=species:S:1:pos:R:3 pbc="T T T"
Ga 4.281 -4.410 2.089
Ga 3.059 -2.896 4.938
Ga 2.746 -5.985 6.447
Ga 5.785 -5.004 5.139
Ga 3.968 -7.500 3.598
Ga 1.242 -5.391 3.397
Mn 3.513 -5.198 4.268
Pu 5.271 -7.797 6.403
Pu 1.756 -2.599 2.133
```

Properties
Energy relative to the elements (eV per atom): -0.355

VASP calculation (PBE) on an optimized crystal structure of PuMnGa.

```
3
Lattice="-0.096 1.341 -2.825 -3.101 0.327 0.260 2.318 4.136 3.617" Properties=species:S:1:pos:R:3 pbc="T T T"
Pu -1.449 1.868 -0.797
Ga 0.446 3.080 1.447
Mn -0.971 5.169 0.754
```

Properties
Energy relative to the elements (eV per atom): -0.127

VASP calculation (PBE) on an optimized crystal structure of PuMnGa.

```
6
Lattice="-0.060 4.427 1.026 -4.104 -0.362 1.318 1.235 -1.294 5.654" Properties=species:S:1:pos:R:3 pbc="T T T"
Ga -0.159 3.078 2.263
Ga -1.562 0.037 5.231
Pu 0.459 2.430 5.089
Pu -2.181 0.684 2.404
Mn -1.738 2.549 4.450
Mn -1.449 1.953 7.037
```

Properties
Energy relative to the elements (eV per atom): 0.022

VASP calculation (PBE) on an optimized crystal structure of PuMnGa.

```
3
Lattice="2.976 0.000 0.000 0.000 4.707 0.000 0.000 -2.354 4.077" Properties=species:S:1:pos:R:3 pbc="T T T"
Ga 0.496 0.000 0.000
Mn 0.496 0.000 2.718
Pu 1.984 2.354 1.359
```

Properties
Energy relative to the elements (eV per atom): 0.089

VASP calculation (PBE) on an optimized crystal structure of Pu4Mn4Ga.

```
9
Lattice="-3.173 -2.794 -0.949 2.569 -5.445 -2.450 -1.199 -3.754 5.170" Properties=species:S:1:pos:R:3 pbc="T T T"
Mn -1.583 -5.034 0.334
Mn 0.119 -4.345 2.504
Mn -0.219 -6.958 1.436
Mn -1.921 -7.647 -0.733
Pu -0.182 -2.765 -1.141
Pu -2.916 -4.354 2.788
Pu 1.113 -7.638 -1.018
Pu -1.620 -9.227 2.912
Ga 0.000 0.000 0.000
```

Properties
Energy relative to the elements (eV per atom): 0.009

VASP calculation (PBE) on an optimized crystal structure of PuMn4Ga.

```
6
Lattice="-3.049 -3.378 1.807 -0.271 -4.420 -2.088 1.789 -3.919 2.325" Properties=species:S:1:pos:R:3 pbc="T T T"
Pu -0.383 -2.929 0.511
Mn -0.822 -5.104 2.337
Mn -0.959 -7.341 1.281
Mn 0.584 -5.632 0.366
Mn -1.865 -5.357 0.104
Ga 0.000 0.000 0.000
```

Properties
Energy relative to the elements (eV per atom): 0.135

VASP calculation (PBE) on an optimized crystal structure of Pu2MnGa.

```
8
Lattice="5.152 0.000 0.000 0.000 5.396 -1.482 0.000 -0.032 5.596" Properties=species:S:1:pos:R:3 pbc="T T T"
Ga 2.576 2.682 2.057
Ga 0.000 2.682 2.057
Pu 3.864 1.883 4.885
Pu 3.864 5.206 0.551
Pu 1.288 3.481 -0.772
Pu 1.288 0.157 3.562
Mn 1.288 0.668 0.512
Mn 3.864 4.696 3.601
```

Properties
Energy relative to the elements (eV per atom): -0.155

VASP calculation (PBE) on an optimized crystal structure of PuMnGa.

```
6
Lattice="2.681 -1.001 -4.478 0.148 -3.695 3.817 -5.313 0.032 0.098" Properties=species:S:1:pos:R:3 pbc="T T T"
Ga 0.074 -1.848 1.908
Ga -1.242 -2.332 -0.282
Pu -3.880 -0.628 -0.617
Pu 1.396 -4.037 0.054
Mn -2.583 -1.832 1.957
Mn -1.316 -0.485 -2.190
```

Properties
Energy relative to the elements (eV per atom): -0.219

VASP calculation (PBE) on an optimized crystal structure of Pu2MnGa.

```
4
Lattice="3.747 0.000 0.000 0.000 3.747 0.000 0.000 0.000 5.788" Properties=species:S:1:pos:R:3 pbc="T T T"
Ga 1.873 1.873 2.894
Mn 1.873 1.873 0.000
Pu 0.000 0.000 4.343
Pu 0.000 0.000 1.445
```

Properties
Energy relative to the elements (eV per atom): -0.101

VASP calculation (PBE) on an optimized crystal structure of PuMnGa2.

```
4
Lattice="-1.650 2.166 -0.952 -1.797 1.347 1.811 5.637 7.297 2.462" Properties=species:S:1:pos:R:3 pbc="T T T"
Mn 0.000 0.000 0.000
Pu 1.095 5.406 1.661
Ga 0.328 2.505 0.760
Ga 1.862 8.306 2.561
```

Properties
Energy relative to the elements (eV per atom): 0.002

VASP calculation (PBE) on an optimized crystal structure of Pu2MnGa8.

```
11
Lattice="-0.525 -4.200 0.672 -0.211 -0.651 -4.231 11.142 -1.447 -0.333" Properties=species:S:1:pos:R:3 pbc="T T T"
Ga 5.308 -2.824 0.170
Ga 9.520 -3.371 0.044
Ga 9.677 -1.596 -2.408
Ga 5.466 -1.049 -2.282
Ga 7.303 -3.422 -2.009
Ga 3.103 -2.876 -1.883
Ga 1.254 -0.502 -2.156
Ga 1.096 -2.277 0.295
Mn 0.000 0.000 0.000
Pu 7.710 -1.001 -0.230
Pu 3.432 -0.446 -0.103
```

Properties
Energy relative to the elements (eV per atom): -0.303

VASP calculation (PBE) on an optimized crystal structure of Pu2MnGa.

```
4
Lattice="4.300 0.000 0.000 0.000 4.288 0.000 0.000 0.000 4.288" Properties=species:S:1:pos:R:3 pbc="T T T"
Pu 0.000 2.144 0.000
Pu 0.000 0.000 2.144
Ga 2.150 0.000 0.000
Mn 2.150 2.144 2.144
```

Properties
Energy relative to the elements (eV per atom): -0.143

VASP calculation (PBE) on an optimized crystal structure of PuMnGa11.

```
13
Lattice="4.759 0.008 1.983 2.420 7.360 1.008 0.000 0.004 6.703" Properties=species:S:1:pos:R:3 pbc="T T T"
Ga 2.379 0.006 4.343
Ga 1.685 4.686 3.024
Ga 5.494 2.686 6.669
Ga 1.897 1.686 2.229
Ga 3.845 2.682 3.924
Ga 5.282 5.686 7.464
Ga 0.000 0.002 3.351
Ga 1.210 3.680 0.504
Ga 4.261 5.682 3.214
Ga 3.333 4.690 5.769
Ga 2.918 1.690 6.480
Mn 3.589 3.684 1.495
Pu 0.000 0.000 0.000
```

Properties
Energy relative to the elements (eV per atom): -0.068

VASP calculation (PBE) on an optimized crystal structure of Pu2MnGa.

```
4
Lattice="-0.786 2.159 1.890 -1.197 -0.692 2.634 9.069 0.220 5.860" Properties=species:S:1:pos:R:3 pbc="T T T"
Ga 0.000 0.000 0.000
Pu 0.779 1.390 5.760
Pu 6.307 0.296 4.625
Mn 3.543 0.843 5.192
```

Properties
Energy relative to the elements (eV per atom): 0.362

VASP calculation (PBE) on an optimized crystal structure of Pu2MnGa2.

```
5
Lattice="-0.212 2.911 -0.386 -2.433 -1.620 0.351 0.678 1.739 12.738" Properties=species:S:1:pos:R:3 pbc="T T T"
Mn 0.000 0.000 0.000
Pu -0.410 2.793 10.059
Pu -1.558 0.237 2.644
Ga 0.272 0.698 5.111
Ga 0.406 1.041 7.627
```

Properties
Energy relative to the elements (eV per atom): 0.211

VASP calculation (PBE) on an optimized crystal structure of Pu3Mn2Ga9.

```
14
Lattice="-1.961 -2.562 -2.938 0.818 -7.513 2.764 -7.028 -2.119 3.298" Properties=species:S:1:pos:R:3 pbc="T T T"
Mn -2.816 -6.970 1.475
Mn -5.355 -5.224 1.648
Ga -4.237 -2.682 1.926
Ga -0.820 -5.031 1.693
Ga -5.459 -10.598 3.162
Ga -7.643 -9.097 3.311
Ga -7.351 -7.163 1.430
Ga -3.935 -9.512 1.198
Ga -3.105 -4.816 3.031
Ga -2.713 -1.596 -0.039
Ga -0.529 -3.097 -0.187
Pu -4.941 -7.521 3.374
Pu 0.000 0.000 0.000
Pu -3.230 -4.673 -0.251
```

Properties
Energy relative to the elements (eV per atom): -0.326

VASP calculation (PBE) on an optimized crystal structure of Pu3MnGa3.

```
14
Lattice="4.310 -0.001 0.000 -2.156 5.308 0.000 0.000 0.000 13.320" Properties=species:S:1:pos:R:3 pbc="T T T"
Pu 2.155 2.822 1.271
Pu -0.001 5.128 3.330
Pu -0.001 2.486 12.048
Pu 2.155 2.822 5.389
Pu -0.001 2.486 7.931
Pu 2.155 0.179 9.990
Ga 0.000 2.181 3.330
Ga 2.154 3.126 9.990
Ga 0.000 0.573 1.246
Ga 0.000 0.573 5.414
Ga 2.154 4.734 12.073
Ga 2.154 4.734 7.906
Mn 2.155 0.000 6.660
Mn 2.155 0.000 0.000
```

Properties
Energy relative to the elements (eV per atom): -0.116

VASP calculation (PBE) on an optimized crystal structure of PuMnGa2.

```
4
Lattice="-2.451 3.027 -2.345 -2.176 0.774 3.273 2.579 2.887 1.032" Properties=species:S:1:pos:R:3 pbc="T T T"
Ga 1.289 1.443 0.516
Ga -1.088 0.387 1.637
Mn -1.024 3.344 0.980
Pu -1.225 1.514 -1.172
```

Properties
Energy relative to the elements (eV per atom): -0.119